First-principles (SCAN) data for a crystal of TaZnRh relaxed with PBEsol, as listed in Alexandria via LeMat-Bulk.

Computed properties:
DFT formation energy	-393	meV/atom
space-group type	Imm2, No. 44

abc: 2.819 3.829 4.720
angles: 113.93 107.37 90.00
Atoms (fractional coordinates):
Rh1 0.995 0.995 0.991
Zn1 0.337 0.337 0.675
Ta1 0.667 0.667 0.334

First-principles (SCAN) data for a crystal of KZnP2 relaxed with PBEsol, as listed in Alexandria via LeMat-Bulk.

Computed properties:
DFT formation energy	-88	meV/atom
space-group type	P4/mmm, No. 123

abc: 3.478 3.478 6.585
angles: 90.00 90.00 90.00
Atoms (fractional coordinates):
Zn1 0.500 0.500 0.000
P1 0.000 0.000 0.838
P2 0.000 0.000 0.162
K1 0.500 0.500 0.500

First-principles (SCAN) data for a crystal of FeW2Br relaxed with PBEsol, as listed in Alexandria via LeMat-Bulk.

Computed properties:
space-group type	Cmm2, No. 35
formation energy (no corrections)	2.83	eV/f.u.
excess energy over the best structure of this formula in the dataset	0.0	meV per atom

abc: 2.846 2.846 8.591
angles: 90.00 90.00 113.13
Site moments in Bohr magnetons follow the coordinates.
Atoms (fractional coordinates):
Br1 0.000 0.000 0.482  0.09
W1 0.500 0.500 0.768  -0.02
W2 0.000 0.000 0.011  -0.10
Fe1 0.500 0.500 0.239  2.90

First-principles (SCAN) data for a crystal of MoRu3 relaxed with PBEsol, as listed in Alexandria via LeMat-Bulk.

Computed properties:
DFT formation energy	12	meV/atom
space-group type	Pm-3m, No. 221
excess energy over the best structure of this formula in the dataset	66.2	meV per atom

abc: 3.806 3.806 3.806
angles: 90.00 90.00 90.00
Atoms (fractional coordinates):
Mo1 0.000 0.000 0.000
Ru1 0.500 0.000 0.500
Ru2 0.500 0.500 0.000
Ru3 0.000 0.500 0.500

First-principles (SCAN) data for a crystal of Mg2FeHg relaxed with PBEsol, as listed in Alexandria via LeMat-Bulk.

Computed properties:
DFT formation energy	107	meV/atom
space-group type	C2/m, No. 12

abc: 3.226 4.690 5.401
angles: 115.83 107.37 90.00
Site moments in Bohr magnetons follow the coordinates.
Atoms (fractional coordinates):
Fe1 0.500 0.000 0.000  2.92
Mg1 0.762 0.762 0.524  -0.02
Mg2 0.238 0.238 0.476  -0.02
Hg1 0.000 0.500 0.000  -0.05

First-principles (SCAN) data for a crystal of CuSF2 relaxed with PBEsol, as listed in Alexandria via LeMat-Bulk.

Computed properties:
space-group type	Fm-3m, No. 225
formation energy (no corrections)	-0.12	eV/f.u.
excess energy over the best structure of this formula in the dataset	411.9	meV per atom

abc: 3.998 3.998 3.998
angles: 60.00 60.00 60.00
Atoms (fractional coordinates):
Cu1 0.500 0.500 0.500
F1 0.250 0.250 0.250
F2 0.750 0.750 0.750
S1 0.000 0.000 0.000

First-principles (SCAN) data for a crystal of Li3Cu relaxed with PBEsol, as listed in Alexandria via LeMat-Bulk.

Computed properties:
DFT formation energy	54	meV/atom
space-group type	R-3m, No. 166

abc: 2.577 5.142 5.142
angles: 117.27 99.62 99.62
Atoms (fractional coordinates):
Cu1 0.000 0.000 0.000
Li1 0.000 0.500 0.500
Li2 0.500 0.500 0.000
Li3 0.500 0.000 0.500

First-principles (SCAN) data for a crystal of YNiRh2 relaxed with PBEsol, as listed in Alexandria via LeMat-Bulk.

Computed properties:
DFT formation energy	-276	meV/atom
space-group type	Fm-3m, No. 225

abc: 4.431 4.431 4.431
angles: 60.00 60.00 60.00
Site moments in Bohr magnetons follow the coordinates.
Atoms (fractional coordinates):
Rh1 0.750 0.750 0.750  0.41
Rh2 0.250 0.250 0.250  0.41
Ni1 0.000 0.000 0.000  1.09
Y1 0.500 0.500 0.500  -0.07

no.,calculated volume (A^3/atom),magnetic moment (μB per formula unit)
1,14.7,0.000
2,19.9,0.000
3,16.0,2.818
4,13.8,0.000
5,17.3,2.688
6,11.3,0.003
7,14.3,0.067
8,15.4,1.677